! HfPaTcW, optimized geometry, DFT PBE; values from VASP
! - ΔH_f (0 K) (eV per atom) = -0.088
! - theoretical density (Mg/m³) = 14.9
! - final energy (eV/atom) = -10.780
! - space-group type = F-43m
&SYSTEM
  ibrav = 0, nat = 4, ntyp = 4
/
ATOMIC_SPECIES
Hf 178.49 Hf.upf
Pa 231.04 Pa.upf
Tc 98.00 Tc.upf
W 183.84 W.upf
ATOMIC_POSITIONS angstrom
Hf 0.000 0.000 0.000
Pa 3.376 3.376 3.376
Tc 1.688 1.688 1.688
W 5.063 5.063 5.063
CELL_PARAMETERS angstrom
0.000 3.376 3.376
3.376 0.000 3.376
3.376 3.376 0.000

=====

! CaErCuIr, optimized geometry, DFT PBE; values from VASP
! - ΔH_f (0 K) (eV per atom) = -0.401
! - theoretical density (Mg/m³) = 9.6
! - final energy (eV/atom) = -5.281
! - space-group type = F-43m
&SYSTEM
  ibrav = 0, nat = 4, ntyp = 4
/
ATOMIC_SPECIES
Ca 40.08 Ca.upf
Er 167.26 Er.upf
Cu 63.55 Cu.upf
Ir 192.22 Ir.upf
ATOMIC_POSITIONS angstrom
Ca 0.000 0.000 0.000
Er 3.426 3.426 3.426
Cu 5.139 5.139 5.139
Ir 1.713 1.713 1.713
CELL_PARAMETERS angstrom
0.000 3.426 3.426
3.426 0.000 3.426
3.426 3.426 0.000